# KUSiO7 PBE-GGA optimized geometry
# - Uncorrected formation energy: -2.0588 eV per atom
data_KUSiO7
_chemical_formula_sum 'K2 U2 Si2 O14'
_cell_length_a 6.810
_cell_length_b 7.005
_cell_length_c 7.081
_cell_angle_alpha 90.00
_cell_angle_beta 103.31
_cell_angle_gamma 90.00
_space_group_name_H-M_alt 'P 1 21 1'
_space_group_IT_number 4
loop_
_space_group_symop_operation_xyz
'x,y,z'
'-x,y+1/2,-z'
loop_
_atom_site_label
_atom_site_fract_x
_atom_site_fract_y
_atom_site_fract_z
K1 0.236 0.000 0.063
U1 0.135 0.300 0.518
Si1 0.346 0.806 0.570
O1 0.088 0.324 0.254
O2 0.163 0.270 0.780
O3 0.181 0.974 0.481
O4 0.195 0.621 0.550
O5 0.407 0.597 0.181
O6 0.457 0.842 0.801
O7 0.478 0.283 0.553